The following is a DFT calculation (GGA-PBE) of KC2 after structural relaxation.

Calculated values
**Total DFT energy (no corrections)**: -4.2807 eV per atom
**Offset from the most stable computed form**: 1729.9 meV per atom
**N(E_F)**: 0.60 states/eV/atom
**Space group**: P4/mmm
**ΔE_f**: 2.23 eV per atom

```
KC2
1.0
2.559 0.000 0.000
0.000 2.559 0.000
0.000 0.000 5.113
K C
1 2
Direct
0.000 0.000 0.000
0.000 0.500 0.500
0.500 0.000 0.500
```

The following is a DFT calculation (GGA-PBE) of Li3HPt after structural relaxation.

Calculated values
**Total DFT energy (no corrections)**: -2.8729 eV per atom
**Offset from the most stable computed form**: 567.2 meV per atom
**N(E_F)**: 0.00 states/eV/atom
**Space group**: Pm-3m

```
Li3HPt
1.0
4.765 0.000 0.000
0.000 4.765 0.000
0.000 0.000 4.765
Li H Pt
3 1 1
Direct
0.000 0.000 0.500
0.000 0.500 0.000
0.500 0.000 0.000
0.500 0.500 0.500
0.000 0.000 0.000
```

The following is a DFT calculation (GGA-PBE) of BaMgW2 after structural relaxation.

Calculated values
**Total DFT energy (no corrections)**: -6.2490 eV per atom
**N(E_F)**: 0.79 states/eV/atom
**Space group**: P4/mmm
**ΔE_f**: 1.11 eV per atom

```
BaMgW2
1.0
3.670 0.000 0.000
0.000 3.670 0.000
0.000 0.000 7.312
Ba Mg W
1 1 2
Direct
0.000 0.000 0.000
0.000 0.000 0.500
0.500 0.500 0.344
0.500 0.500 0.656
```